[1]
# PmBe4Au8

A geometry-optimized PmBe4Au8 structure (PBE-GGA, Alexandria via LeMat-Bulk).

Unit cell a=6.852 b=6.852 c=6.852 alpha=98.45 beta=98.45 gamma=134.93
Sites, in units of the cell vectors:
Pm: 0.000 0.000 0.000
Be: 0.000 0.000 0.500
Be: 0.000 0.500 0.000
Be: 0.500 0.000 0.000
Be: 0.500 0.500 0.500
Au: 0.000 0.331 0.331
Au: 0.000 0.669 0.669
Au: 0.278 0.500 0.778
Au: 0.331 0.000 0.331
Au: 0.500 0.278 0.778
Au: 0.500 0.722 0.222
Au: 0.669 0.000 0.669
Au: 0.722 0.500 0.222

Results
The calculation puts the total magnetization at 0.00 μB per formula unit. The space group is I4/mmm, No. 139. The value obtained for the formation energy is -26 kJ/mol of atoms.

***

[2]
# PmBeAu2

A geometry-optimized PmBeAu2 structure (PBE-GGA, Alexandria via LeMat-Bulk).

Unit cell a=4.848 b=4.848 c=4.848 alpha=60.00 beta=60.00 gamma=60.00
Sites, in units of the cell vectors:
Pm: 0.000 0.000 0.000
Be: 0.500 0.500 0.500
Au: 0.250 0.250 0.250
Au: 0.750 0.750 0.750

Results
The calculation puts the total magnetization at 0.00 μB per formula unit. The value obtained for the energy above the lowest structure with this stoichiometry is 0.738 eV per formula unit. The space group is Fm-3m, No. 225. The value obtained for the formation energy is -27 kJ/mol of atoms.

***

[3]
# PmBe6Au12

A geometry-optimized PmBe6Au12 structure (PBE-GGA, Alexandria via LeMat-Bulk).

Unit cell a=7.071 b=7.071 c=7.071 alpha=104.95 beta=104.95 gamma=104.95
Sites, in units of the cell vectors:
Pm: 0.000 0.000 0.000
Be: 0.243 0.243 0.684
Be: 0.243 0.684 0.243
Be: 0.316 0.757 0.757
Be: 0.684 0.243 0.243
Be: 0.757 0.316 0.757
Be: 0.757 0.757 0.316
Au: 0.126 0.500 0.874
Au: 0.126 0.874 0.500
Au: 0.174 0.433 0.433
Au: 0.433 0.174 0.433
Au: 0.433 0.433 0.174
Au: 0.500 0.126 0.874
Au: 0.500 0.874 0.126
Au: 0.567 0.567 0.826
Au: 0.567 0.826 0.567
Au: 0.826 0.567 0.567
Au: 0.874 0.126 0.500
Au: 0.874 0.500 0.126

Results
The calculation puts the total magnetization at 0.00 μB per formula unit. The space group is R-3m, No. 166. The value obtained for the formation energy is -17 kJ/mol of atoms.

***

Theoretical density values (in g cm⁻³) by entry order: 13.868 11.294 13.754.